(1)
## TbGa6Ni4 (PBE)

Data for a geometry-optimized TbGa6Ni4 structure.

Unit cell a=6.9539 b=6.9539 c=3.9413 alpha=90.00 beta=90.00 gamma=120.00
Space group P-6m2 (No. 187)
Asymmetric unit:
Tb: 0.0000 0.0000 0.0000 [1 per cell]
Ga: 0.1966 0.3932 0.5000 [3 per cell]
Ga: 0.5344 0.0687 0.0000 [3 per cell]
Ni: 0.3333 0.6667 0.0000 [1 per cell]
Ni: 0.4179 0.2089 0.5000 [3 per cell]

Output
* crystal system: hexagonal
* ΔE_f: -5.1 eV/f.u.
* E: -0.1704 Ha/atom

***

(2)
## TbGa8Ni4 (PBE)

Data for a geometry-optimized TbGa8Ni4 structure.

Unit cell a=8.596 b=8.596 c=5.179 alpha=90.00 beta=90.00 gamma=90.00
Space group I4/mmm (No. 139)
Asymmetric unit:
Tb: 0.000 0.000 0.000 [2 per cell]
Ga: 0.000 0.222 0.500 [8 per cell]
Ga: 0.000 0.343 0.000 [8 per cell]
Ni: 0.250 0.250 0.250 [8 per cell]

Output
* crystal system: tetragonal
* ΔE_f: -5.7 eV/f.u.
* E: -0.1629 Ha/atom

***

(3)
## Tb3Ga7Ni4 (PBE)

Data for a geometry-optimized Tb3Ga7Ni4 structure.

Unit cell a=15.379 b=4.122 c=9.155 alpha=90.00 beta=125.16 gamma=90.00
Space group C2/m (No. 12)
Asymmetric unit:
Tb: 0.000 0.000 0.000 [2 per cell]
Tb: 0.191 0.500 0.698 [4 per cell]
Ga: 0.000 0.000 0.500 [2 per cell]
Ga: 0.003 0.500 0.280 [4 per cell]
Ga: 0.158 0.000 0.422 [4 per cell]
Ga: 0.178 0.500 0.031 [4 per cell]
Ni: 0.121 0.000 0.844 [4 per cell]
Ni: 0.162 0.500 0.285 [4 per cell]

Output
* crystal system: monoclinic
* ΔE_f: -8.4 eV/f.u.
* E: -0.1747 Ha/atom

***

(4)
## Tb2GaNi3 (PBE)

Data for a geometry-optimized Tb2GaNi3 structure.

Unit cell a=4.1044 b=4.1044 c=15.0301 alpha=90.00 beta=90.00 gamma=120.00
Space group P6_3/mmc (No. 194)
Asymmetric unit:
Tb: 0.0000 0.0000 0.1206 [4 per cell]
Ga: 0.3333 0.6667 0.2500 [2 per cell]
Ni: 0.3333 0.6667 0.0010 [4 per cell]
Ni: 0.3333 0.6667 0.7500 [2 per cell]

Output
* crystal system: hexagonal
* ΔE_f: -2.8 eV/f.u.
* E: -0.1989 Ha/atom